# NiP2SeN | Alexandria | PBE | relaxed
data_NiP2SeN
_chemical_formula_sum 'Ni1 P2 Se1 N1'
_cell_length_a 3.6765
_cell_length_b 4.2634
_cell_length_c 5.7343
_cell_angle_alpha 82.66
_cell_angle_beta 76.30
_cell_angle_gamma 65.13
_symmetry_space_group_name_H-M 'P 1'
_symmetry_Int_Tables_number 1
loop_
_symmetry_equiv_pos_as_xyz
'x,y,z'
loop_
_atom_site_label
_atom_site_fract_x
_atom_site_fract_y
_atom_site_fract_z
_atom_site_occupancy
Ni1 0.0000 0.0000 0.0000 1
P1 0.1354 0.0902 0.5974 1
P2 0.8183 0.8470 0.3958 1
Se1 0.6713 0.6193 0.0366 1
N1 0.0711 0.4725 0.5009 1
# Energy, eV per atom: -5.68
# Energy above the lowest structure with this stoichiometry, meV per atom: 55
# Formation energy from raw total energies, kJ/mol of formula units: 1

---

# NiP2SeN | Alexandria | PBE | relaxed
data_NiP2SeN
_chemical_formula_sum 'Ni1 P2 Se1 N1'
_cell_length_a 2.6549
_cell_length_b 4.2315
_cell_length_c 7.3249
_cell_angle_alpha 79.76
_cell_angle_beta 89.92
_cell_angle_gamma 71.73
_symmetry_space_group_name_H-M 'P 1'
_symmetry_Int_Tables_number 1
loop_
_symmetry_equiv_pos_as_xyz
'x,y,z'
loop_
_atom_site_label
_atom_site_fract_x
_atom_site_fract_y
_atom_site_fract_z
_atom_site_occupancy
Ni1 0.0000 0.0000 0.0000 1
P1 0.4377 0.1298 0.7456 1
P2 0.6041 0.7989 0.5268 1
Se1 0.2984 0.4052 0.1491 1
N1 0.8021 0.4017 0.6635 1
# Energy, eV per atom: -5.65
# Energy above the lowest structure with this stoichiometry, meV per atom: 90
# Formation energy from raw total energies, kJ/mol of formula units: 18

---

# NiP2SeN | Alexandria | PBE | relaxed
data_NiP2SeN
_chemical_formula_sum 'Ni1 P2 Se1 N1'
_cell_length_a 2.7330
_cell_length_b 4.9193
_cell_length_c 6.7740
_cell_angle_alpha 68.77
_cell_angle_beta 89.20
_cell_angle_gamma 89.97
_symmetry_space_group_name_H-M 'P 1'
_symmetry_Int_Tables_number 1
loop_
_symmetry_equiv_pos_as_xyz
'x,y,z'
loop_
_atom_site_label
_atom_site_fract_x
_atom_site_fract_y
_atom_site_fract_z
_atom_site_occupancy
Ni1 0.0000 0.0000 0.0000 1
P1 0.5014 0.3529 0.9557 1
P2 0.5119 0.7770 0.6538 1
Se1 0.4932 0.5772 0.2195 1
N1 0.0096 0.9326 0.7157 1
# Energy, eV per atom: -5.71
# Energy above the lowest structure with this stoichiometry, meV per atom: 28
# Formation energy from raw total energies, kJ/mol of formula units: -12